A plane-wave DFT calculation with PBE-GGA was carried out for crystalline Th3BCl3 at its relaxed geometry.

Structure (CIF):
```
data_Th3BCl3
_cell_length_a 8.3473
_cell_length_b 3.8574
_cell_length_c 11.2267
_cell_angle_alpha 90.00
_cell_angle_beta 95.53
_cell_angle_gamma 90.00
_symmetry_space_group_name_H-M 'P 1 21/m 1'
_symmetry_Int_Tables_number 11
loop_
_symmetry_equiv_pos_as_xyz
'x,y,z'
'-x,-y,-z'
'-x,y+1/2,-z'
'x,-y+1/2,z'
loop_
_atom_site_label
_atom_site_fract_x
_atom_site_fract_y
_atom_site_fract_z
_atom_site_occupancy
Th1 0.0947 0.2500 0.1383 1
Th2 0.1066 0.2500 0.6175 1
Th3 0.3333 0.7500 0.3876 1
B1 0.1160 0.2500 0.3772 1
Cl1 0.1724 0.2500 0.8824 1
Cl2 0.3543 0.7500 0.1353 1
Cl3 0.3886 0.7500 0.6534 1
```

formation energy from raw total energies	-1245	meV per atom
D(E_F)	0.707	states/eV/atom
size of the total moment	0.52	μB per cell